# ErNpNiO6

A geometry-optimized ErNpNiO6 structure (GGA+U, the Alexandria database).

Magnetization in Bohr magnetons per cell: 3.965
Calculated density in Mg/m³: 7.8
Final energy in eV per cell: -144.98
Symmetry: P-31c (163)

Lattice parameters (Å, degrees): 5.2844 5.2844 9.8534 90.00 90.00 120.00
Closest atoms and distances in Å follow each position.
Fractional positions:
O: 0.6484 0.6573 0.6361  1 Np 2.03, 1 Ni 2.09
O: 0.3516 0.0089 0.1361  1 Np 2.03, 1 Ni 2.09
O: 0.3427 0.3516 0.8639  1 Np 2.03, 1 Ni 2.09
O: 0.6573 0.0089 0.3639  1 Np 2.03, 1 Ni 2.09
O: 0.0089 0.6573 0.8639  1 Np 2.03, 1 Ni 2.09
O: 0.6484 0.9911 0.8639  1 Np 2.03, 1 Ni 2.09
O: 0.3427 0.9911 0.6361  1 Np 2.03, 1 Ni 2.09
O: 0.0089 0.3516 0.6361  1 Np 2.03, 1 Ni 2.09
O: 0.6573 0.6484 0.1361  1 Np 2.03, 1 Ni 2.09
O: 0.3516 0.3427 0.3639  1 Np 2.03, 1 Ni 2.09
O: 0.9911 0.6484 0.3639  1 Np 2.03, 1 Ni 2.09
O: 0.9911 0.3427 0.1361  1 Np 2.03, 1 Ni 2.09
Er: 0.0000 0.0000 0.5000  6 O 2.27
Er: 0.0000 0.0000 0.0000  6 O 2.27
Ni: 0.3333 0.6667 0.2500  6 O 2.09
Ni: 0.6667 0.3333 0.7500  6 O 2.09
Np: 0.3333 0.6667 0.7500  6 O 2.03
Np: 0.6667 0.3333 0.2500  6 O 2.03